{
  "formula": "TmLuMnRu",
  "functional": "GGA-PBE",
  "state": "optimized geometry",
  "delta_e_f_ev_per_fu": -0.7,
  "m_tot_mub_per_fu": 3.54,
  "space_group": "F-43m (216)",
  "lattice_angstrom": [[4.819, 0.000, 0.000], [2.409, 4.173, 0.000], [2.409, 1.391, 3.935]],
  "species": ["Lu", "Ru", "Tm", "Mn"],
  "fractional_positions": [[0.250, 0.250, 0.250], [0.000, 0.000, 0.000], [0.750, 0.750, 0.750], [0.500, 0.500, 0.500]]
}

***

{
  "formula": "InTeRu2",
  "functional": "GGA-PBE",
  "state": "optimized geometry",
  "m_tot_mub_per_fu": 0.00,
  "space_group": "I-42d (122)",
  "raw_formation_energy_ev_per_atom": 0.772,
  "lattice_angstrom": [[6.127, 0.000, 0.000], [0.000, 6.127, 0.000], [3.063, 3.063, 5.528]],
  "species": ["Ru", "In", "Ru", "Ru", "Te", "Te", "In", "Ru"],
  "fractional_positions": [[0.375, 0.357, 0.750], [0.500, 0.500, 0.000], [0.107, 0.625, 0.250], [0.643, 0.125, 0.250], [0.750, 0.250, 0.500], [0.000, 0.000, 0.000], [0.250, 0.750, 0.500], [0.875, 0.893, 0.750]]
}

***

{
  "formula": "Re3HRh",
  "functional": "GGA-PBE",
  "state": "optimized geometry",
  "total_energy_ev_per_cell": -47.564,
  "m_tot_mub_per_fu": 0.00,
  "space_group": "Pm-3m (221)",
  "lattice_angstrom": [[3.936, 0.000, 0.000], [0.000, 3.936, 0.000], [0.000, 0.000, 3.936]],
  "species": ["Re", "Re", "H", "Rh", "Re"],
  "fractional_positions": [[0.500, 0.000, 0.000], [0.000, 0.000, 0.500], [0.000, 0.000, 0.000], [0.500, 0.500, 0.500], [0.000, 0.500, 0.000]]
}

***

{
  "formula": "MgCd2Hg2Bi",
  "functional": "GGA-PBE",
  "state": "optimized geometry",
  "delta_e_f_ev_per_fu": 0.0,
  "m_tot_mub_per_fu": 0.00,
  "space_group": "P2_1/m (11)",
  "lattice_angstrom": [[-2.804, -5.237, -0.346], [6.053, -3.074, -2.532], [1.070, -1.048, 7.200]],
  "species": ["Mg", "Cd", "Bi", "Hg", "Mg", "Cd", "Hg", "Hg", "Hg", "Cd", "Cd", "Bi"],
  "fractional_positions": [[0.750, 0.644, 0.071], [0.750, 0.937, 0.452], [0.750, 0.310, 0.755], [0.502, 0.158, 0.181], [0.250, 0.356, 0.929], [0.250, 0.063, 0.548], [0.002, 0.842, 0.819], [0.998, 0.158, 0.181], [0.498, 0.842, 0.819], [0.750, 0.521, 0.432], [0.250, 0.479, 0.568], [0.250, 0.690, 0.245]]
}

***

{
  "formula": "RbErAgTe2",
  "functional": "GGA-PBE",
  "state": "optimized geometry",
  "m_tot_mub_per_fu": 0.00,
  "space_group": "P2/c (13)",
  "raw_formation_energy_ev_per_atom": -0.804,
  "lattice_angstrom": [[-1.371, -4.121, 1.961], [-1.663, -3.129, -7.738], [8.160, -2.948, -0.489]],
  "species": ["Te", "Te", "Te", "Rb", "Er", "Er", "Ag", "Ag", "Rb", "Te"],
  "fractional_positions": [[0.437, 0.757, 0.498], [0.563, 0.757, 0.998], [0.563, 0.243, 0.502], [0.993, 0.500, 0.250], [0.500, 0.000, 0.250], [0.500, 0.000, 0.750], [0.000, 0.000, 0.500], [0.000, 0.000, 0.000], [0.007, 0.500, 0.750], [0.437, 0.243, 0.002]]
}

***

{
  "formula": "Li2TbCd2",
  "functional": "GGA-PBE",
  "state": "optimized geometry",
  "delta_e_f_ev_per_fu": -1.0,
  "m_tot_mub_per_fu": 0.00,
  "space_group": "P4/mbm (127)",
  "lattice_angstrom": [[-2.058, 0.928, 2.217], [4.670, -3.414, 5.764], [4.082, 7.022, 0.851]],
  "species": ["Li", "Cd", "Tb", "Li", "Cd", "Cd", "Cd", "Li", "Tb", "Li"],
  "fractional_positions": [[0.000, 0.883, 0.617], [0.500, 0.819, 0.319], [0.000, 0.000, 0.000], [0.000, 0.383, 0.883], [0.500, 0.681, 0.819], [0.500, 0.181, 0.681], [0.500, 0.319, 0.181], [0.000, 0.117, 0.383], [0.000, 0.500, 0.500], [0.000, 0.617, 0.117]]
}

***

{
  "formula": "MnBi3S6",
  "functional": "GGA-PBE",
  "state": "optimized geometry",
  "m_tot_mub_per_fu": 4.00,
  "space_group": "P2_1/m (11)",
  "raw_formation_energy_ev_per_atom": -0.344,
  "lattice_angstrom": [[-2.571, 1.219, -2.762], [9.002, -1.796, -9.175], [-4.250, -8.892, 0.031]],
  "species": ["S", "Mn", "S", "S", "S", "Mn", "Bi", "Bi", "S", "S", "S", "S", "S", "S", "S", "Bi", "Bi", "Bi", "Bi", "S"],
  "fractional_positions": [[0.750, 0.739, 0.877], [0.250, 0.378, 0.976], [0.750, 0.472, 0.122], [0.250, 0.905, 0.564], [0.250, 0.699, 0.174], [0.750, 0.622, 0.024], [0.250, 0.134, 0.620], [0.750, 0.437, 0.663], [0.250, 0.261, 0.123], [0.750, 0.301, 0.826], [0.250, 0.330, 0.515], [0.250, 0.958, 0.151], [0.750, 0.670, 0.485], [0.750, 0.042, 0.849], [0.750, 0.095, 0.436], [0.750, 0.866, 0.380], [0.250, 0.563, 0.337], [0.750, 0.116, 0.118], [0.250, 0.884, 0.882], [0.250, 0.528, 0.878]]
}

***

{
  "formula": "La5PuTe8",
  "functional": "GGA-PBE",
  "state": "optimized geometry",
  "m_tot_mub_per_fu": 6.66,
  "space_group": "I-4 (82)",
  "raw_formation_energy_ev_per_atom": -1.538,
  "lattice_angstrom": [[7.889, 0.000, -2.745], [-3.921, 6.822, -2.804], [-0.048, 0.000, 8.352]],
  "species": ["Te", "Pu", "Te", "Te", "Te", "La", "Te", "La", "La", "Te", "Te", "La", "Te", "La"],
  "fractional_positions": [[0.625, 0.404, 0.875], [0.250, 0.500, 0.750], [0.973, 0.102, 0.722], [0.129, 0.749, 0.027], [0.778, 0.250, 0.375], [0.002, 0.375, 0.128], [0.125, 0.750, 0.529], [0.752, 0.625, 0.627], [0.500, 0.000, 0.500], [0.621, 0.898, 0.871], [0.471, 0.596, 0.222], [0.373, 0.126, 0.998], [0.278, 0.251, 0.379], [0.872, 0.874, 0.248]]
}

***

{
  "formula": "Ce3PaOs2",
  "functional": "GGA-PBE",
  "state": "optimized geometry",
  "delta_e_f_ev_per_fu": -0.3,
  "m_tot_mub_per_fu": 2.12,
  "space_group": "Ibam (72)",
  "lattice_angstrom": [[-6.583, -1.086, 0.321], [1.110, -5.309, 4.802], [2.243, 7.683, 2.511]],
  "species": ["Os", "Os", "Pa", "Ce", "Pa", "Os", "Os", "Ce", "Ce", "Ce", "Ce", "Ce"],
  "fractional_positions": [[0.858, 0.127, 0.255], [0.396, 0.627, 0.255], [0.000, 0.000, 0.000], [0.768, 0.518, 0.536], [0.000, 0.500, 0.000], [0.604, 0.373, 0.745], [0.142, 0.873, 0.745], [0.768, 0.018, 0.536], [0.232, 0.482, 0.464], [0.500, 0.750, 0.000], [0.500, 0.250, 0.000], [0.232, 0.982, 0.464]]
}

***

{
  "formula": "MnAlNi6",
  "functional": "GGA-PBE",
  "state": "optimized geometry",
  "delta_e_f_ev_per_fu": -2.2,
  "m_tot_mub_per_fu": 5.24,
  "space_group": "Cmmm (65)",
  "lattice_angstrom": [[6.170, -0.004, 0.000], [-2.062, 5.815, 0.000], [0.000, 0.000, 10.078]],
  "species": ["Ni", "Ni", "Mn", "Mn", "Ni", "Al", "Ni", "Ni", "Ni", "Ni", "Ni", "Ni", "Al", "Ni", "Ni", "Ni", "Ni", "Ni", "Ni", "Mn", "Ni", "Al", "Ni", "Ni", "Ni", "Ni", "Mn", "Ni", "Ni", "Al", "Ni", "Ni"],
  "fractional_positions": [[0.875, 0.625, 0.375], [0.000, 0.000, 0.750], [0.500, 0.500, 0.000], [0.251, 0.749, 0.750], [0.125, 0.375, 0.875], [0.000, 0.000, 0.500], [0.375, 0.125, 0.875], [0.375, 0.125, 0.125], [0.375, 0.125, 0.625], [0.000, 0.000, 0.250], [0.125, 0.375, 0.125], [0.250, 0.750, 0.500], [0.251, 0.749, 0.250], [0.625, 0.875, 0.125], [0.625, 0.875, 0.375], [0.750, 0.250, 0.000], [0.625, 0.875, 0.625], [0.250, 0.750, 0.000], [0.875, 0.625, 0.125], [0.500, 0.500, 0.500], [0.500, 0.500, 0.250], [0.749, 0.251, 0.250], [0.750, 0.250, 0.500], [0.500, 0.500, 0.750], [0.875, 0.625, 0.875], [0.625, 0.875, 0.875], [0.749, 0.251, 0.750], [0.375, 0.125, 0.375], [0.125, 0.375, 0.625], [0.000, 0.000, 0.000], [0.875, 0.625, 0.625], [0.125, 0.375, 0.375]]
}

***

{
  "formula": "NbPCCl2",
  "functional": "GGA-PBE",
  "state": "optimized geometry",
  "m_tot_mub_per_fu": 1.47,
  "space_group": "P4/mmm (123)",
  "raw_formation_energy_ev_per_atom": 1.121,
  "lattice_angstrom": [[-2.128, -1.993, 3.815], [3.705, -3.015, 0.492], [2.271, 3.277, 2.979]],
  "species": ["Nb", "P", "C", "Cl", "Cl"],
  "fractional_positions": [[0.000, 0.000, 0.000], [0.000, 0.000, 0.500], [0.500, 0.500, 0.500], [0.000, 0.500, 0.000], [0.500, 0.000, 0.000]]
}

***

{
  "formula": "CoSb6Ir",
  "functional": "GGA-PBE",
  "state": "optimized geometry",
  "m_tot_mub_per_fu": 0.00,
  "space_group": "C2/m (12)",
  "raw_formation_energy_ev_per_atom": -0.260,
  "lattice_angstrom": [[0.643, -4.249, -6.745], [6.068, -1.853, 4.870], [-6.970, -1.745, 3.610]],
  "species": ["Co", "Ir", "Sb", "Sb", "Sb", "Sb", "Sb", "Sb", "Sb", "Sb", "Sb", "Ir", "Sb", "Sb", "Co", "Sb"],
  "fractional_positions": [[0.000, 0.000, 0.500], [0.000, 0.500, 0.000], [0.840, 0.668, 0.508], [0.820, 0.151, 0.657], [0.847, 0.342, 0.189], [0.180, 0.849, 0.343], [0.344, 0.494, 0.164], [0.656, 0.506, 0.836], [0.494, 0.163, 0.343], [0.153, 0.658, 0.811], [0.506, 0.837, 0.657], [0.500, 0.000, 0.000], [0.330, 0.180, 0.836], [0.160, 0.332, 0.492], [0.500, 0.500, 0.500], [0.670, 0.820, 0.164]]
}